Crystalline Sr5Mg2Zn at its relaxed geometry, computed with PBE-GGA.

The structure in POSCAR format:
```
Sr5Mg2Zn
1.0
5.801 0.000 0.000
0.000 7.570 0.000
0.000 0.000 14.311
Sr Mg Zn
10 4 2
Direct
0.000 0.500 0.500
0.000 0.380 0.782
0.000 0.620 0.218
0.500 0.334 0.099
0.500 0.166 0.599
0.000 0.880 0.718
0.500 0.834 0.401
0.000 0.000 0.000
0.500 0.666 0.901
0.000 0.120 0.282
0.500 0.860 0.141
0.500 0.140 0.859
0.500 0.360 0.359
0.500 0.640 0.641
0.000 0.500 0.000
0.000 0.000 0.500
```

Summary:
- ρ (g/cm³) = 2.92
- ΔH_f (0 K) (eV per atom) = -0.05
- volume (Å³ per atom) = 39.3
- DOS at the Fermi energy (states/eV/atom) = 1.146